PBE+U VCrMo2O6, optimized geometry; uncorrected energy = -76.713 eV/cell; ρ = 5557 kg/m3; symmetry = R3
1.0
-2.7488 -3.3299 -3.1170
1.3381 -5.1494 -0.2282
-3.4310 -3.7555 2.4885
Mo V O Cr
2 1 6 1
Direct
0.5188 0.5188 0.4436
0.0174 0.0174 0.9479
0.8157 0.8157 0.5528
0.4374 0.7034 0.7550
0.7034 0.1041 0.7551
0.2059 0.9403 0.2524
0.6014 0.2059 0.2524
0.9403 0.6014 0.2524
0.1042 0.4374 0.7550
0.3171 0.3171 0.0487